Density functional theory data (GGA+U) for crystalline TaNiPb2O6 at its relaxed geometry.

The density of states at the Fermi level comes out at 0.43 states/eV per atom. The value obtained for the final energy is -6.7978 eV per atom.

Cell lengths 5.6532, 5.7296, 8.0454 Å; angles 90.00, 89.91, 90.00 degrees
Positions (direct):
Ta 0.5000 0.0000 0.5000
Ta 0.0000 0.5000 0.0000
Ni 0.5000 0.0000 0.0000
Ni 0.0000 0.5000 0.5000
Pb 0.0060 0.9655 0.2505
Pb 0.5060 0.5345 0.7505
Pb 0.9940 0.0345 0.7495
Pb 0.4940 0.4655 0.2495
O 0.2850 0.7029 0.0377
O 0.7850 0.7971 0.5377
O 0.7150 0.2971 0.9623
O 0.2150 0.2029 0.4623
O 0.2994 0.7159 0.4593
O 0.7994 0.7841 0.9593
O 0.7006 0.2841 0.5407
O 0.2006 0.2159 0.0407
O 0.9224 0.5198 0.2438
O 0.4224 0.9802 0.7438
O 0.0776 0.4802 0.7562
O 0.5776 0.0198 0.2562